# 1
PBE BaInRe2, optimized geometry; DFT total energy = -45.3 eV per cell; calculated formation energy = 1721 meV/atom; crystal system = tetragonal
1.0
-4.143 4.143 2.840
4.143 -4.143 2.840
4.143 4.143 -2.840
Ba In Re
2 2 4
Direct
0.000 0.000 0.000
0.750 0.250 0.500
0.250 0.750 0.500
0.500 0.500 0.000
0.171 0.625 0.046
0.375 0.421 0.546
0.579 0.125 0.954
0.875 0.829 0.454



# 2
PBE BaInRe2, optimized geometry; DFT total energy = -28.1 eV per cell; calculated formation energy = 369 meV/atom; crystal system = tetragonal
1.0
3.196 0.000 0.000
0.000 3.196 0.000
0.000 0.000 8.838
Ba In Re
1 1 2
Direct
0.000 0.000 0.000
0.500 0.500 0.325
0.000 0.000 0.559
0.500 0.500 0.699



# 3
PBE BaIn2Re, optimized geometry; DFT total energy = -16.3 eV per cell; calculated formation energy = 887 meV/atom; crystal system = cubic
1.0
0.000 3.687 3.687
3.687 0.000 3.687
3.687 3.687 0.000
Ba In Re
1 2 1
Direct
0.000 0.000 0.000
0.500 0.500 0.500
0.750 0.750 0.750
0.250 0.250 0.250



# 4
PBE BaInRe2, optimized geometry; DFT total energy = -26.5 eV per cell; calculated formation energy = 777 meV/atom; crystal system = trigonal
1.0
1.516 0.875 10.583
-1.516 0.875 10.583
0.000 -1.750 10.583
Ba In Re
1 1 2
Direct
0.000 0.000 0.000
0.767 0.767 0.767
0.238 0.238 0.238
0.509 0.509 0.509



# 5
PBE BaInRe2, optimized geometry; DFT total energy = -23.6 eV per cell; calculated formation energy = 1494 meV/atom; crystal system = orthorhombic
1.0
3.147 -4.841 0.000
3.147 4.841 0.000
0.000 0.000 2.830
Ba In Re
1 1 2
Direct
0.000 0.000 0.000
0.500 0.500 0.000
0.000 0.500 0.500
0.500 0.000 0.500



# 6
PBE BaInRe2, optimized geometry; DFT total energy = -24.5 eV per cell; calculated formation energy = 1276 meV/atom; crystal system = trigonal
1.0
1.507 0.870 10.548
-1.507 0.870 10.548
0.000 -1.740 10.548
Ba In Re
1 1 2
Direct
0.000 0.000 0.000
0.500 0.500 0.500
0.239 0.239 0.239
0.761 0.761 0.761



# 7
PBE BaInRe2, optimized geometry; DFT total energy = -25.6 eV per cell; calculated formation energy = 997 meV/atom; crystal system = tetragonal
1.0
3.662 0.000 0.000
0.000 3.662 0.000
0.000 0.000 7.231
Ba In Re
1 1 2
Direct
0.000 0.000 0.000
0.000 0.000 0.500
0.500 0.500 0.338
0.500 0.500 0.662



# 8
PBE BaInRe2, optimized geometry; DFT total energy = -25.5 eV per cell; calculated formation energy = 1014 meV/atom; crystal system = monoclinic
1.0
2.915 0.000 0.000
0.000 5.153 0.000
-0.185 0.000 6.503
Ba In Re
1 1 2
Direct
0.000 0.000 0.000
0.500 0.000 0.500
0.385 0.500 0.670
0.615 0.500 0.330



# 9
PBE BaInRe2, optimized geometry; DFT total energy = -24.6 eV per cell; calculated formation energy = 1248 meV/atom; crystal system = orthorhombic
1.0
1.689 -2.385 0.000
1.689 2.385 0.000
0.000 0.000 10.306
Ba In Re
1 1 2
Direct
0.000 0.000 0.000
0.000 0.000 0.500
0.500 0.500 0.282
0.500 0.500 0.718



# 10
PBE BaInRe2, optimized geometry; DFT total energy = -26.6 eV per cell; calculated formation energy = 746 meV/atom; crystal system = orthorhombic
1.0
-1.895 2.364 6.376
1.895 -2.364 6.376
1.895 2.364 -6.376
Ba In Re
1 1 2
Direct
0.000 0.000 0.000
0.259 0.759 0.500
0.628 0.628 0.000
0.738 0.238 0.500



# 11
PBE BaIn2Re, optimized geometry; DFT total energy = -18.4 eV per cell; calculated formation energy = 363 meV/atom; crystal system = tetragonal
1.0
3.449 0.000 0.000
0.000 3.449 0.000
0.000 0.000 8.373
Ba In Re
1 2 1
Direct
0.000 0.000 0.000
0.500 0.500 0.317
0.500 0.500 0.683
0.000 0.000 0.500



# 12
PBE BaInRe2, optimized geometry; DFT total energy = -26.0 eV per cell; calculated formation energy = 899 meV/atom; crystal system = orthorhombic
1.0
3.033 0.000 0.000
0.000 4.474 0.000
0.000 0.000 7.028
Ba In Re
1 1 2
Direct
0.000 0.000 0.000
0.000 0.000 0.500
0.500 0.500 0.337
0.500 0.500 0.663